Compound: CdCoO2
Source: the Alexandria database
Functional: GGA+U
Structure: relaxed

Properties
spin magnetization = 4.86 Bohr magnetons per cell
E = -76.0 eV for the cell shown

```
data_CdCoO2
_symmetry_space_group_name_H-M 'C 1 2/m 1'
_symmetry_Int_Tables_number 12
_cell_length_a 10.8548
_cell_length_b 2.9128
_cell_length_c 6.1798
_cell_angle_alpha 90.00
_cell_angle_beta 92.48
_cell_angle_gamma 90.00
loop_
_symmetry_equiv_pos_as_xyz
'x,y,z'
'-x,-y,-z'
'-x,y,-z'
'x,-y,z'
'x+1/2,y+1/2,z'
'-x+1/2,-y+1/2,-z'
'-x+1/2,y+1/2,-z'
'x+1/2,-y+1/2,z'
loop_
_atom_site_label
_atom_site_type_symbol
_atom_site_fract_x
_atom_site_fract_y
_atom_site_fract_z
_atom_site_occupancy
Cd1 Cd 0.2393 0.0000 0.2685 1
Co1 Co 0.0000 0.0000 0.0000 1
Co2 Co 0.0000 0.5000 0.5000 1
O1 O 0.0163 0.0000 0.3046 1
O2 O 0.1225 0.5000 0.9975 1
```